1.
A plane-wave DFT calculation with GGA-PBE was carried out for crystalline Tm4GaAs2Se at its relaxed geometry.

Geometry as POSCAR:
```
Tm4GaAs2Se
1.0
-3.9161 -0.4195 0.7134
1.3255 -0.4356 7.0198
-1.0313 6.7347 -1.7012
Tm Ga As Se
4 1 2 1
direct
0.5000 0.2556 0.2573 Tm
0.5000 0.7444 0.7427 Tm
0.0000 0.2455 0.7430 Tm
0.0000 0.7545 0.2570 Tm
0.5000 0.5000 0.0000 Ga
0.5000 0.0000 0.5000 As
0.0000 0.5000 0.5000 As
0.0000 0.0000 0.0000 Se
```

Output
- SG: P2/m
- Energy relative to the elements, uncorrected: -1293 meV per atom



2.
A plane-wave DFT calculation with GGA-PBE was carried out for crystalline TlAuSCl2 at its relaxed geometry.

Geometry as POSCAR:
```
TlAuSCl2
1.0
5.1990 0.0000 0.0000
0.0000 5.1990 0.0000
0.0000 0.0000 5.2811
Tl Au S Cl
1 1 1 2
direct
0.0000 0.0000 0.0000 Tl
0.5000 0.5000 0.5000 Au
0.0000 0.0000 0.5000 S
0.0000 0.5000 0.0000 Cl
0.5000 0.0000 0.0000 Cl
```

Output
- SG: P4/mmm
- Energy relative to the elements, uncorrected: 341 meV per atom
- Relative energy among the computed polymorphs: 0.5210 eV per atom



3.
A plane-wave DFT calculation with GGA-PBE was carried out for crystalline BaAgSeBr at its relaxed geometry.

Geometry as POSCAR:
```
BaAgSeBr
1.0
4.6934 0.0000 0.0000
2.3467 4.0646 0.0000
2.3467 1.3549 14.2824
Ba Ag Se Br
2 2 2 2
direct
0.0863 0.0863 0.7412 Ba
0.9137 0.9137 0.2588 Ba
0.6894 0.6894 0.9317 Ag
0.3106 0.3106 0.0683 Ag
0.6248 0.6248 0.1257 Se
0.3752 0.3752 0.8743 Se
0.7931 0.7931 0.6207 Br
0.2069 0.2069 0.3793 Br
```

Output
- SG: R-3m
- Energy relative to the elements, uncorrected: -1334 meV per atom



4.
A plane-wave DFT calculation with GGA-PBE was carried out for crystalline Na8TcO6 at its relaxed geometry.

Geometry as POSCAR:
```
Na8TcO6
1.0
6.3636 0.0000 0.0000
0.0000 7.3054 0.0000
0.0000 0.0000 9.3441
Na Tc O
16 2 12
direct
0.3873 0.0000 0.0862 Na
0.6127 0.5000 0.5862 Na
0.8363 0.8222 0.1330 Na
0.1637 0.6778 0.6330 Na
0.1637 0.3222 0.6330 Na
0.8363 0.1778 0.1330 Na
0.5072 0.8167 0.7950 Na
0.4928 0.6833 0.2950 Na
0.4928 0.3167 0.2950 Na
0.5072 0.1833 0.7950 Na
0.9640 0.8254 0.8287 Na
0.0360 0.6746 0.3287 Na
0.0360 0.3254 0.3287 Na
0.9640 0.1746 0.8287 Na
0.2945 0.0000 0.4753 Na
0.7055 0.5000 0.9753 Na
0.7783 0.0000 0.4828 Tc
0.2217 0.5000 0.9828 Tc
0.7145 0.0000 0.9463 O
0.2855 0.5000 0.4463 O
0.2318 0.0000 0.7195 O
0.7682 0.5000 0.2195 O
0.9908 0.0000 0.3273 O
0.0092 0.5000 0.8273 O
0.5827 0.0000 0.3131 O
0.4173 0.5000 0.8131 O
0.2173 0.7162 0.0862 O
0.7827 0.7838 0.5862 O
0.7827 0.2162 0.5862 O
0.2173 0.2838 0.0862 O
```

Output
- SG: Pmn2_1
- Energy relative to the elements, uncorrected: -1230 meV per atom



5.
A plane-wave DFT calculation with GGA-PBE was carried out for crystalline CoNi6H8 at its relaxed geometry.

Geometry as POSCAR:
```
CoNi6H8
1.0
2.6175 0.0000 0.0000
0.0000 5.7091 -3.2961
0.0000 0.0000 6.5923
Co Ni H
1 6 8
direct
0.5000 0.0000 0.0000 Co
0.7578 0.6995 0.1279 Ni
0.7578 0.8721 0.5716 Ni
0.7578 0.4284 0.3005 Ni
0.2422 0.3005 0.8721 Ni
0.2422 0.1279 0.4284 Ni
0.2422 0.5716 0.6995 Ni
0.7333 0.9884 0.2463 H
0.7333 0.7537 0.7421 H
0.7333 0.2579 0.0116 H
0.2667 0.0116 0.7537 H
0.2667 0.2463 0.2579 H
0.2667 0.7421 0.9884 H
0.5807 0.3333 0.6667 H
0.4193 0.6667 0.3333 H
```

Output
- SG: P-3
- DFT total energy: -4.50 eV per atom